First-principles (GGA-PBE) data for a relaxed PrUSbN2 crystal, as listed in the Alexandria database.

```
data_PrUSbN2
_chemical_formula_sum 'Pr2 U2 Sb2 N4'
_symmetry_space_group_name_H-M 'I 4 m m'
_symmetry_Int_Tables_number 107
_symmetry_space_group_name_Hall 'I 4 -2'
_cell_length_a 3.943
_cell_length_b 3.943
_cell_length_c 12.774
_cell_angle_alpha 90.00
_cell_angle_beta 90.00
_cell_angle_gamma 90.00
loop_
_atom_site_label
_atom_site_fract_x
_atom_site_fract_y
_atom_site_fract_z
_atom_site_occupancy
Pr1 0.000 0.000 0.000 1
U1 0.000 0.000 0.319 1
Sb1 0.000 0.000 0.668 1
N1 0.000 0.500 0.389 1
```

Formation energy from raw total energies (kJ per mole of atoms): -120.8


First-principles (GGA-PBE) data for a relaxed RbTaHg crystal, as listed in the Alexandria database.

```
data_RbTaHg
_chemical_formula_sum 'Rb2 Ta2 Hg2'
_symmetry_space_group_name_H-M 'P -6 m 2'
_symmetry_Int_Tables_number 187
_symmetry_space_group_name_Hall 'P -6 2'
_cell_length_a 5.3599
_cell_length_b 5.3599
_cell_length_c 8.0861
_cell_angle_alpha 90.00
_cell_angle_beta 90.00
_cell_angle_gamma 120.00
loop_
_atom_site_label
_atom_site_fract_x
_atom_site_fract_y
_atom_site_fract_z
_atom_site_occupancy
Rb1 0.0000 0.0000 0.0000 1
Rb2 0.0000 0.0000 0.5000 1
Ta1 0.3333 0.6667 0.1486 1
Hg1 0.6667 0.3333 0.1908 1
```

ΔH_f (0 K) (meV/atom): 1059
Polymorph energy (0 for the lowest one) (kJ per mole of atoms): 68.4


First-principles (GGA-PBE) data for a relaxed KBa2USe6 crystal, as listed in the Alexandria database.

```
data_KBa2USe6
_chemical_formula_sum 'K2 Ba4 U2 Se12'
_symmetry_space_group_name_H-M 'P 1 21/c 1'
_symmetry_Int_Tables_number 14
_cell_length_a 7.740
_cell_length_b 8.399
_cell_length_c 12.642
_cell_angle_alpha 90.00
_cell_angle_beta 122.62
_cell_angle_gamma 90.00
loop_
_symmetry_equiv_pos_as_xyz
'x,y,z'
'-x,-y,-z'
'-x,y+1/2,-z+1/2'
'x,-y+1/2,z+1/2'
loop_
_atom_site_label
_atom_site_fract_x
_atom_site_fract_y
_atom_site_fract_z
_atom_site_occupancy
K1 0.000 0.000 0.000 1
Ba1 0.196 0.087 0.733 1
U1 0.500 0.000 0.500 1
Se1 0.168 0.173 0.449 1
Se2 0.267 0.733 0.417 1
Se3 0.417 0.062 0.271 1
```

Formation energy from raw total energies (kJ per mole of atoms): -131.6


First-principles (GGA-PBE) data for a relaxed Sm5Si2Ge2 crystal, as listed in the Alexandria database.

```
data_Sm5Si2Ge2
_chemical_formula_sum 'Sm20 Si8 Ge8'
_symmetry_space_group_name_H-M 'C m c e'
_symmetry_Int_Tables_number 64
_symmetry_space_group_name_Hall '-C 2ac 2'
_cell_length_a 15.055
_cell_length_b 7.810
_cell_length_c 7.836
_cell_angle_alpha 90.00
_cell_angle_beta 90.00
_cell_angle_gamma 90.00
loop_
_atom_site_label
_atom_site_fract_x
_atom_site_fract_y
_atom_site_fract_z
_atom_site_occupancy
Sm1 0.000 0.000 0.000 1
Sm2 0.139 0.177 0.328 1
Si1 0.000 0.113 0.614 1
Ge1 0.205 0.000 0.000 1
```

Formation energy from raw total energies (kJ per mole of atoms): -74.6


First-principles (GGA-PBE) data for a relaxed RbCaNbTeSe crystal, as listed in the Alexandria database.

```
data_RbCaNbTeSe
_chemical_formula_sum 'Rb2 Ca2 Nb2 Te2 Se2'
_symmetry_space_group_name_H-M 'C 1 m 1'
_symmetry_Int_Tables_number 8
_cell_length_a 13.164
_cell_length_b 3.770
_cell_length_c 6.775
_cell_angle_alpha 90.00
_cell_angle_beta 105.12
_cell_angle_gamma 90.00
loop_
_symmetry_equiv_pos_as_xyz
'x,y,z'
'x,-y,z'
'x+1/2,y+1/2,z'
'x+1/2,-y+1/2,z'
loop_
_atom_site_label
_atom_site_fract_x
_atom_site_fract_y
_atom_site_fract_z
_atom_site_occupancy
Rb1 0.000 0.000 0.000 1
Ca1 0.179 0.000 0.597 1
Nb1 0.306 0.500 0.318 1
Te1 0.459 0.000 0.490 1
Se1 0.219 0.500 0.951 1
```

Formation energy from raw total energies (kJ per mole of atoms): -46.3
Polymorph energy (0 for the lowest one) (kJ per mole of atoms): 22.6


First-principles (GGA-PBE) data for a relaxed Cr2W crystal, as listed in the Alexandria database.

```
data_Cr2W
_chemical_formula_sum 'Cr8 W4'
_symmetry_space_group_name_H-M 'I 41/a m d'
_symmetry_Int_Tables_number 141
_cell_length_a 3.057
_cell_length_b 3.057
_cell_length_c 18.071
_cell_angle_alpha 90.00
_cell_angle_beta 90.00
_cell_angle_gamma 90.00
loop_
_symmetry_equiv_pos_as_xyz
'x,y,z'
'-x,-y,-z'
'-y+1/4,x+3/4,z+1/4'
'y+1/4,-x+3/4,-z+1/4'
'-x+1/2,-y,z+1/2'
'x+1/2,y,-z+1/2'
'y+1/4,-x+1/4,z+3/4'
'-y+1/4,x+1/4,-z+3/4'
'x,-y,-z'
'-x,y,z'
'-y+1/4,-x+1/4,-z+3/4'
'y+1/4,x+1/4,z+3/4'
'-x+1/2,y,-z+1/2'
'x+1/2,-y,z+1/2'
'y+1/4,x+3/4,-z+1/4'
'-y+1/4,-x+3/4,z+1/4'
'x+1/2,y+1/2,z+1/2'
'-x+1/2,-y+1/2,-z+1/2'
'-y+3/4,x+1/4,z+3/4'
'y+3/4,-x+1/4,-z+3/4'
'-x,-y+1/2,z'
'x,y+1/2,-z'
'y+3/4,-x+3/4,z+1/4'
'-y+3/4,x+3/4,-z+1/4'
'x+1/2,-y+1/2,-z+1/2'
'-x+1/2,y+1/2,z+1/2'
'-y+3/4,-x+3/4,-z+1/4'
'y+3/4,x+3/4,z+1/4'
'-x,y+1/2,-z'
'x,-y+1/2,z'
'y+3/4,x+1/4,-z+3/4'
'-y+3/4,-x+1/4,z+3/4'
loop_
_atom_site_label
_atom_site_fract_x
_atom_site_fract_y
_atom_site_fract_z
_atom_site_occupancy
Cr1 0.000 0.250 0.296 1
W1 0.000 0.250 0.875 1
```

ΔH_f (0 K) (meV/atom): 573
Polymorph energy (0 for the lowest one) (kJ per mole of atoms): 50.1


First-principles (GGA-PBE) data for a relaxed AlAsCl2 crystal, as listed in the Alexandria database.

```
data_AlAsCl2
_chemical_formula_sum 'Al1 As1 Cl2'
_symmetry_space_group_name_H-M 'P m m m'
_symmetry_Int_Tables_number 47
_cell_length_a 3.167
_cell_length_b 4.251
_cell_length_c 6.083
_cell_angle_alpha 90.00
_cell_angle_beta 90.00
_cell_angle_gamma 90.00
loop_
_symmetry_equiv_pos_as_xyz
'x,y,z'
'-x,-y,-z'
'-x,-y,z'
'x,y,-z'
'x,-y,-z'
'-x,y,z'
'-x,y,-z'
'x,-y,z'
loop_
_atom_site_label
_atom_site_fract_x
_atom_site_fract_y
_atom_site_fract_z
_atom_site_occupancy
Al1 0.000 0.000 0.000 1
As1 0.000 0.000 0.500 1
Cl1 0.500 0.500 0.249 1
```

Formation energy from raw total energies (kJ per mole of atoms): 19.0
Polymorph energy (0 for the lowest one) (kJ per mole of atoms): 78.8


First-principles (GGA-PBE) data for a relaxed Re3As crystal, as listed in the Alexandria database.

```
data_Re3As
_chemical_formula_sum 'Re3 As1'
_symmetry_space_group_name_H-M 'P m m m'
_symmetry_Int_Tables_number 47
_cell_length_a 2.908
_cell_length_b 4.049
_cell_length_c 5.136
_cell_angle_alpha 90.00
_cell_angle_beta 90.00
_cell_angle_gamma 90.00
loop_
_symmetry_equiv_pos_as_xyz
'x,y,z'
'-x,-y,-z'
'-x,-y,z'
'x,y,-z'
'x,-y,-z'
'-x,y,z'
'-x,y,-z'
'x,-y,z'
loop_
_atom_site_label
_atom_site_fract_x
_atom_site_fract_y
_atom_site_fract_z
_atom_site_occupancy
Re1 0.000 0.000 0.000 1
Re2 0.500 0.500 0.249 1
As1 0.000 0.000 0.500 1
```

ΔH_f (0 K) (meV/atom): 374
Polymorph energy (0 for the lowest one) (kJ per mole of atoms): 20.8


First-principles (GGA-PBE) data for a relaxed SrBe2Os crystal, as listed in the Alexandria database.

```
data_SrBe2Os
_chemical_formula_sum 'Sr2 Be4 Os2'
_symmetry_space_group_name_H-M 'C 1 m 1'
_symmetry_Int_Tables_number 8
_cell_length_a 6.779
_cell_length_b 3.915
_cell_length_c 5.939
_cell_angle_alpha 90.00
_cell_angle_beta 112.51
_cell_angle_gamma 90.00
loop_
_symmetry_equiv_pos_as_xyz
'x,y,z'
'x,-y,z'
'x+1/2,y+1/2,z'
'x+1/2,-y+1/2,z'
loop_
_atom_site_label
_atom_site_fract_x
_atom_site_fract_y
_atom_site_fract_z
_atom_site_occupancy
Sr1 0.000 0.000 0.000 1
Be1 0.318 0.500 0.458 1
Be2 0.494 0.000 0.484 1
Os1 0.188 0.000 0.568 1
```

ΔH_f (0 K) (meV/atom): 43
Polymorph energy (0 for the lowest one) (kJ per mole of atoms): 0.0


First-principles (GGA-PBE) data for a relaxed Th4Ga12Rh crystal, as listed in the Alexandria database.

```
data_Th4Ga12Rh
_chemical_formula_sum 'Th8 Ga24 Rh2'
_symmetry_space_group_name_H-M 'I m -3 m'
_symmetry_Int_Tables_number 229
_symmetry_space_group_name_Hall '-I 4 2 3'
_cell_length_a 8.842
_cell_length_b 8.842
_cell_length_c 8.842
_cell_angle_alpha 90.00
_cell_angle_beta 90.00
_cell_angle_gamma 90.00
loop_
_atom_site_label
_atom_site_fract_x
_atom_site_fract_y
_atom_site_fract_z
_atom_site_occupancy
Th1 0.250 0.250 0.250 1
Ga1 0.000 0.000 0.295 1
Ga2 0.000 0.250 0.500 1
Rh1 0.000 0.000 0.000 1
```

ΔH_f (0 K) (meV/atom): -580


First-principles (GGA-PBE) data for a relaxed La2ScCl crystal, as listed in the Alexandria database.

```
data_La2ScCl
_chemical_formula_sum 'La2 Sc1 Cl1'
_symmetry_space_group_name_H-M 'P 1 2/m 1'
_symmetry_Int_Tables_number 10
_cell_length_a 3.759
_cell_length_b 3.732
_cell_length_c 9.266
_cell_angle_alpha 90.00
_cell_angle_beta 90.19
_cell_angle_gamma 90.00
loop_
_symmetry_equiv_pos_as_xyz
'x,y,z'
'-x,-y,-z'
'-x,y,-z'
'x,-y,z'
loop_
_atom_site_label
_atom_site_fract_x
_atom_site_fract_y
_atom_site_fract_z
_atom_site_occupancy
La1 0.003 0.000 0.243 1
Sc1 0.500 0.500 0.000 1
Cl1 0.000 0.500 0.500 1
```

Formation energy from raw total energies (kJ per mole of atoms): -57.5
Polymorph energy (0 for the lowest one) (kJ per mole of atoms): 3.4


First-principles (GGA-PBE) data for a relaxed PaTaNb6 crystal, as listed in the Alexandria database.

```
data_PaTaNb6
_chemical_formula_sum 'Pa2 Ta2 Nb12'
_symmetry_space_group_name_H-M 'C m m m'
_symmetry_Int_Tables_number 65
_symmetry_space_group_name_Hall '-C 2 2'
_cell_length_a 6.734
_cell_length_b 9.462
_cell_length_c 4.743
_cell_angle_alpha 90.00
_cell_angle_beta 90.00
_cell_angle_gamma 90.00
loop_
_atom_site_label
_atom_site_fract_x
_atom_site_fract_y
_atom_site_fract_z
_atom_site_occupancy
Pa1 0.000 0.000 0.000 1
Ta1 0.000 0.500 0.000 1
Nb1 0.000 0.257 0.500 1
Nb2 0.245 0.000 0.500 1
Nb3 0.250 0.250 0.000 1
```

ΔH_f (0 K) (meV/atom): 0